This record from the Alexandria database describes a relaxed Mg2ScCd crystal. The functional is PBE.

ΔH_f (0 K) = -0.1131 eV/atom
Space group = Pm, No. 6

extended XYZ file:
```
4
Lattice="3.167 0.000 0.000 0.000 4.793 0.000 -1.567 0.000 5.941" Properties=species:S:1:pos:R:3 pbc="T T T"
Mg 0.000 0.000 0.000
Mg 0.009 2.397 4.633
Sc 1.591 2.397 1.774
Cd 0.010 0.000 3.003
```

=====

This record from the Alexandria database describes a relaxed SmHo3Ag crystal. The functional is PBE.

ΔH_f (0 K) = 0.0534 eV/atom
Space group = C2/m, No. 12

extended XYZ file:
```
10
Lattice="5.695 -4.153 0.000 5.695 4.153 0.000 -3.871 0.000 6.619" Properties=species:S:1:pos:R:3 pbc="T T T"
Sm -0.083 0.000 1.757
Sm 7.603 0.000 4.862
Ho 2.517 2.426 2.040
Ho 5.003 2.426 4.579
Ho 2.379 0.000 4.568
Ho 5.140 0.000 2.051
Ho 2.517 -2.426 2.040
Ho 5.003 -2.426 4.579
Ag 2.629 0.000 0.349
Ag 4.891 0.000 6.271
```

=====

This record from the Alexandria database describes a relaxed Na2ZnAs crystal. The functional is PBE.

Offset from the most stable computed form = 277.3 meV/atom
ΔH_f (0 K) = 0.0749 eV/atom
Space group = I-42d, No. 122

extended XYZ file:
```
8
Lattice="-2.117 2.117 10.166 2.117 -2.117 10.166 2.117 2.117 -10.166" Properties=species:S:1:pos:R:3 pbc="T T T"
Na 3.175 1.012 -2.541
Na 1.012 1.058 2.541
Na -1.058 1.105 7.624
Na 1.105 1.058 12.707
Zn 2.117 0.000 5.083
Zn 0.000 0.000 10.166
As 0.000 0.000 0.000
As 0.000 2.117 5.083
```

=====

This record from the Alexandria database describes a relaxed Ac2PrCu crystal. The functional is PBE.

Offset from the most stable computed form = 74.7 meV/atom
ΔH_f (0 K) = 0.0513 eV/atom
Space group = R-3m, No. 166

extended XYZ file:
```
4
Lattice="1.986 1.147 10.440 -1.986 1.147 10.440 0.000 -2.293 10.440" Properties=species:S:1:pos:R:3 pbc="T T T"
Ac 0.000 0.000 7.339
Ac 0.000 0.000 23.982
Pr 0.000 0.000 0.000
Cu 0.000 0.000 15.660
```

=====

This record from the Alexandria database describes a relaxed TaIr3 crystal. The functional is PBE.

ΔH_f (0 K) = -0.4255 eV/atom
Space group = Cmmm, No. 65

extended XYZ file:
```
4
Lattice="2.777 -3.890 0.000 2.777 3.890 0.000 0.000 0.000 2.821" Properties=species:S:1:pos:R:3 pbc="T T T"
Ta 0.000 0.000 0.000
Ir 1.388 1.945 1.411
Ir 1.388 -1.945 1.411
Ir 2.777 0.000 0.000
```

=====

This record from the Alexandria database describes a relaxed Sc3NbCo crystal. The functional is PBE.

Offset from the most stable computed form = 793.9 meV/atom
ΔH_f (0 K) = 1.0855 eV/atom
Space group = Pm-3m, No. 221

extended XYZ file:
```
5
Lattice="4.932 0.000 0.000 0.000 4.932 0.000 0.000 0.000 4.932" Properties=species:S:1:pos:R:3 pbc="T T T"
Sc 0.000 0.000 2.466
Sc 0.000 2.466 0.000
Sc 2.466 0.000 0.000
Nb 0.000 0.000 0.000
Co 2.466 2.466 2.466
```

=====

This record from the Alexandria database describes a relaxed Cd15Ni crystal. The functional is PBE.

ΔH_f (0 K) = 0.0237 eV/atom
Space group = P-6m2, No. 187

extended XYZ file:
```
16
Lattice="6.152 0.000 0.000 -3.076 5.328 0.000 0.000 0.000 10.438" Properties=species:S:1:pos:R:3 pbc="T T T"
Cd 0.000 0.000 0.000
Cd -1.507 2.682 5.219
Cd 1.502 0.867 2.781
Cd 1.502 0.867 7.657
Cd 0.000 3.552 2.520
Cd 0.000 3.552 7.919
Cd 1.507 2.682 5.219
Cd 0.000 5.292 5.219
Cd 3.076 0.034 0.000
Cd 1.567 2.647 0.000
Cd 4.651 0.867 2.781
Cd 4.651 0.867 7.657
Cd 3.076 3.594 2.781
Cd 3.076 3.594 7.657
Cd 4.585 2.647 0.000
Ni 0.000 0.000 5.219
```

=====

This record from the Alexandria database describes a relaxed MgBi6Pb5 crystal. The functional is PBE.

ΔH_f (0 K) = 0.0196 eV/atom
Space group = P-1, No. 2

extended XYZ file:
```
12
Lattice="6.875 0.000 0.000 -3.388 6.516 0.000 -1.743 -3.256 8.745" Properties=species:S:1:pos:R:3 pbc="T T T"
Mg 0.000 0.000 0.000
Bi -3.514 3.253 5.947
Bi -0.079 3.095 0.001
Bi 1.617 0.011 2.798
Bi 0.127 3.249 5.947
Bi 1.823 0.164 8.743
Bi 5.258 0.007 2.798
Pb -1.693 3.267 3.037
Pb 0.000 -0.007 5.882
Pb 3.438 0.000 0.000
Pb 1.745 3.267 2.863
Pb 3.438 -0.007 5.708
```

=====

This record from the Alexandria database describes a relaxed La2Ga5Ni4 crystal. The functional is PBE.

ΔH_f (0 K) = -0.5344 eV/atom
Space group = Fmmm, No. 69

extended XYZ file:
```
11
Lattice="0.000 4.684 7.648 2.695 0.000 7.648 2.695 4.684 0.000" Properties=species:S:1:pos:R:3 pbc="T T T"
La 2.695 4.684 2.070
La 2.695 4.684 13.226
Ga 1.348 2.342 0.000
Ga 1.348 2.342 3.824
Ga 1.348 2.342 7.648
Ga 2.695 4.684 7.648
Ga 4.043 7.026 11.472
Ni 2.695 3.250 5.643
Ni 2.695 3.250 9.653
Ni 2.695 6.118 5.643
Ni 2.695 6.118 9.653
```

=====

This record from the Alexandria database describes a relaxed PuPaV2 crystal. The functional is PBE.

Offset from the most stable computed form = 150.6 meV/atom
ΔH_f (0 K) = 0.5106 eV/atom
Space group = R-3m, No. 166

extended XYZ file:
```
4
Lattice="1.575 0.910 9.215 -1.575 0.910 9.215 0.000 -1.819 9.215" Properties=species:S:1:pos:R:3 pbc="T T T"
Pu 0.000 0.000 0.000
Pa 0.000 0.000 13.823
V 0.000 0.000 6.929
V 0.000 0.000 20.717
```

=====

This record from the Alexandria database describes a relaxed Pm3SiH3 crystal. The functional is PBE.

Space group = P6_3/m, No. 176

extended XYZ file:
```
14
Lattice="8.174 0.000 0.000 -4.087 7.079 0.000 0.000 0.000 4.290" Properties=species:S:1:pos:R:3 pbc="T T T"
Pm -2.275 5.025 1.073
Pm 0.873 2.596 1.073
Pm 2.685 0.542 3.218
Pm 1.402 6.536 1.073
Pm 3.214 4.482 3.218
Pm 6.362 2.054 3.218
Si 0.000 4.719 3.218
Si 4.087 2.360 1.073
H -2.931 5.709 3.218
H 0.608 1.686 3.218
H 1.764 0.316 1.073
H 2.323 6.762 3.218
H 3.479 5.393 1.073
H 7.018 1.369 1.073
```

=====

This record from the Alexandria database describes a relaxed CrCoReSe2 crystal. The functional is PBE.

Space group = P4/mmm, No. 123
Uncorrected formation energy = 1.3783 eV/atom

extended XYZ file:
```
5
Lattice="4.500 0.000 0.000 0.000 4.500 0.000 0.000 0.000 4.536" Properties=species:S:1:pos:R:3 pbc="T T T"
Cr 0.000 0.000 0.000
Co 2.250 2.250 2.268
Re 0.000 0.000 2.268
Se 0.000 2.250 0.000
Se 2.250 0.000 0.000
```

=====

Sequential E output: -10.888 -21.037 -8.262 -16.887 -40.137 -30.743 -19.129 -43.187 -53.993 -40.022 -33.544 -29.255 eV/f.u.